[1]
The following is a DFT calculation (PBE) of a relaxed Sr2Re2O5 crystal.

Results
total magnetization = 3.24 μB per formula unit
space group = P4/mmm
calculated total energy = -6.863 eV/atom

a b c (Å): 10.5319 3.4643 3.4643
angles (deg): 90.00 90.00 90.00
Closest atoms and distances in Å follow each position.
Sites, in units of the cell vectors:
O 0.1075 0.5000 0.0000  2 Re 2.07, 1 O 2.26
O 0.8925 0.5000 0.0000  2 Re 2.07, 1 O 2.26
O 0.1075 0.0000 0.5000  2 Re 2.07, 1 O 2.26
O 0.8925 0.0000 0.5000  2 Re 2.07, 1 O 2.26
O 0.5000 0.5000 0.5000  4 Re 2.45, 2 Sr 2.53
Re 0.0000 0.0000 0.0000  8 O 2.07
Re 0.5000 0.0000 0.0000  4 O 2.45
Sr 0.2599 0.5000 0.5000  5 O 2.36-2.53
Sr 0.7401 0.5000 0.5000  5 O 2.36-2.53



[2]
The following is a DFT calculation (PBE) of a relaxed Mg3Sc3PtAu2 crystal.

Results
total magnetization = 0.02 μB per formula unit
space group = P-62m
calculated total energy = -4.724 eV/atom

a b c (Å): 7.2963 7.2963 3.8706
angles (deg): 90.00 90.00 120.00
Closest atoms and distances in Å follow each position.
Sites, in units of the cell vectors:
Au 0.6667 0.3333 0.5000  3 Mg 2.78, 6 Sc 2.95
Au 0.3333 0.6667 0.5000  3 Mg 2.78, 6 Sc 2.95
Mg 0.7477 0.0000 0.5000  2 Pt 2.67, 2 Au 2.78
Mg 0.2523 0.2523 0.5000  2 Pt 2.67, 2 Au 2.78
Mg 0.0000 0.7477 0.5000  2 Pt 2.67, 2 Au 2.78
Pt 0.0000 0.0000 0.0000  6 Mg 2.67, 3 Sc 2.91
Sc 0.3989 0.0000 0.0000  1 Pt 2.91, 4 Au 2.95, 6 Mg 3.20
Sc 0.0000 0.3989 0.0000  1 Pt 2.91, 4 Au 2.95, 6 Mg 3.20
Sc 0.6011 0.6011 0.0000  1 Pt 2.91, 4 Au 2.95, 6 Mg 3.20



[3]
The following is a DFT calculation (PBE) of a relaxed Pr3Cd2InPdAu2 crystal.

Results
total magnetization = 0.00 μB per formula unit
space group = Amm2
calculated total energy = -4.088 eV/atom

a b c (Å): 4.0408 7.9576 7.9576
angles (deg): 120.40 90.00 90.00
Closest atoms and distances in Å follow each position.
Sites, in units of the cell vectors:
Au 0.0000 0.6648 0.3333  2 Cd 3.02-3.04, 1 In 3.04, 6 Pr 3.15
Au 0.0000 0.3333 0.6648  2 Cd 3.02-3.04, 1 In 3.04, 6 Pr 3.15
Cd 0.0000 0.7493 0.0005  2 Pd 2.85, 2 Au 3.02-3.04
Cd 0.0000 0.0005 0.7493  2 Pd 2.85, 2 Au 3.02-3.04
In 0.0000 0.2466 0.2466  2 Pd 2.78, 2 Au 3.04
Pd 0.5000 0.0050 0.0050  2 In 2.78, 4 Cd 2.85
Pr 0.5000 0.9982 0.4044  4 Au 3.15, 1 Pd 3.21, 4 Cd 3.40-3.45, 2 In 3.48
Pr 0.5000 0.5980 0.5980  4 Au 3.15, 1 Pd 3.22, 2 In 3.44, 4 Cd 3.45
Pr 0.5000 0.4044 0.9982  4 Au 3.15, 1 Pd 3.21, 4 Cd 3.40-3.45, 2 In 3.48



[4]
The following is a DFT calculation (PBE) of a relaxed SrTaTe crystal.

Results
total magnetization = 3.68 μB per formula unit
space group = F-43m
calculated total energy = -4.437 eV/atom

a b c (Å): 5.3270 5.3270 5.3270
angles (deg): 60.00 60.00 60.00
Closest atoms and distances in Å follow each position.
Sites, in units of the cell vectors:
Sr 0.0000 0.0000 0.0000  4 Ta 3.26, 4 Te 3.26
Ta 0.2500 0.2500 0.2500  4 Sr 3.26
Te 0.7500 0.7500 0.7500  4 Sr 3.26



[5]
The following is a DFT calculation (PBE) of a relaxed Sm3Mg3TlIr2 crystal.

Results
total magnetization = 0.00 μB per formula unit
space group = P-62m
calculated total energy = -4.784 eV/atom

a b c (Å): 7.5060 7.5060 4.2489
angles (deg): 90.00 90.00 120.00
Closest atoms and distances in Å follow each position.
Sites, in units of the cell vectors:
Ir 0.6667 0.3333 0.5000  3 Mg 2.81, 6 Sm 3.08
Ir 0.3333 0.6667 0.5000  3 Mg 2.81, 6 Sm 3.08
Mg 0.7394 0.0000 0.5000  2 Ir 2.81, 2 Tl 2.89
Mg 0.2606 0.2606 0.5000  2 Ir 2.81, 2 Tl 2.89
Mg 0.0000 0.7394 0.5000  2 Ir 2.81, 2 Tl 2.89
Sm 0.4261 0.0000 0.0000  4 Ir 3.08, 2 Mg 3.17, 1 Tl 3.20
Sm 0.0000 0.4261 0.0000  4 Ir 3.08, 2 Mg 3.17, 1 Tl 3.20
Sm 0.5739 0.5739 0.0000  4 Ir 3.08, 2 Mg 3.17, 1 Tl 3.20
Tl 0.0000 0.0000 0.0000  6 Mg 2.89, 3 Sm 3.20



[6]
The following is a DFT calculation (PBE) of a relaxed SrMgSn2Hg crystal.

Results
space group = P4/nmm
calculated total energy = -2.689 eV/atom

a b c (Å): 4.7997 4.7997 12.4762
angles (deg): 90.00 90.00 90.00
Closest atoms and distances in Å follow each position.
Sites, in units of the cell vectors:
Hg 0.0000 0.5000 0.3565  5 Sn 2.78-2.99
Hg 0.5000 0.0000 0.6435  5 Sn 2.78-2.99
Mg 0.0000 0.0000 0.0000  4 Sn 2.92
Mg 0.5000 0.5000 0.0000  4 Sn 2.92
Sn 0.0000 0.5000 0.1338  1 Hg 2.78, 4 Mg 2.92
Sn 0.0000 0.0000 0.5000  4 Hg 2.99
Sn 0.5000 0.5000 0.5000  4 Hg 2.99
Sn 0.5000 0.0000 0.8662  1 Hg 2.78, 4 Mg 2.92
Sr 0.5000 0.0000 0.2530  4 Hg 3.63, 8 Sn 3.71-3.91, 4 Mg 3.97
Sr 0.0000 0.5000 0.7470  4 Hg 3.63, 8 Sn 3.71-3.91, 4 Mg 3.97



[7]
The following is a DFT calculation (PBE) of a relaxed NbFeBiPt crystal.

Results
total magnetization = 1.63 μB per formula unit
space group = F-43m
calculated total energy = -6.915 eV/atom

a b c (Å): 4.5971 4.5971 4.5971
angles (deg): 60.00 60.00 60.00
Closest atoms and distances in Å follow each position.
Sites, in units of the cell vectors:
Bi 0.0000 0.0000 0.0000  4 Fe 2.82, 4 Nb 2.82
Fe 0.7500 0.7500 0.7500  4 Bi 2.82, 4 Pt 2.82
Nb 0.2500 0.2500 0.2500  4 Pt 2.82, 4 Bi 2.82
Pt 0.5000 0.5000 0.5000  4 Nb 2.82, 4 Fe 2.82



[8]
The following is a DFT calculation (PBE) of a relaxed LiAgBr2 crystal.

Results
space group = P-4m2
calculated total energy = -2.967 eV/atom

a b c (Å): 4.2910 4.2910 6.0561
angles (deg): 90.00 90.00 90.00
Closest atoms and distances in Å follow each position.
Sites, in units of the cell vectors:
Ag 0.0000 0.0000 0.0000  4 Br 2.71
Br 0.0000 0.5000 0.2739  2 Li 2.55, 2 Ag 2.71
Br 0.5000 0.0000 0.7261  2 Li 2.55, 2 Ag 2.71
Li 0.5000 0.5000 0.5000  4 Br 2.55



- Which of these has the highest calculated total energy?
  SrMgSn2Hg



Repeat the first record exactly.
The following is a DFT calculation (PBE) of a relaxed Sr2Re2O5 crystal.

Results
total magnetization = 3.24 μB per formula unit
space group = P4/mmm
calculated total energy = -6.863 eV/atom

a b c (Å): 10.5319 3.4643 3.4643
angles (deg): 90.00 90.00 90.00
Closest atoms and distances in Å follow each position.
Sites, in units of the cell vectors:
O 0.1075 0.5000 0.0000  2 Re 2.07, 1 O 2.26
O 0.8925 0.5000 0.0000  2 Re 2.07, 1 O 2.26
O 0.1075 0.0000 0.5000  2 Re 2.07, 1 O 2.26
O 0.8925 0.0000 0.5000  2 Re 2.07, 1 O 2.26
O 0.5000 0.5000 0.5000  4 Re 2.45, 2 Sr 2.53
Re 0.0000 0.0000 0.0000  8 O 2.07
Re 0.5000 0.0000 0.0000  4 O 2.45
Sr 0.2599 0.5000 0.5000  5 O 2.36-2.53
Sr 0.7401 0.5000 0.5000  5 O 2.36-2.53